Entry 1:
TlTcMo2: optimized geometry, PBE-GGA.

The structure belongs to space group Cmmm (No. 65); the cell edges are 5.575, 8.207 and 2.954 Å and the angles 90.00°, 90.00° and 90.00°. The inequivalent atoms are Tl at (0.000, 0.000, 0.000), Tc at (0.000, 0.500, 0.000) and Mo at (0.250, 0.250, 0.500).

Its offset from the most stable computed form is 214 meV/atom. As for the formation enthalpy at 0 K: 0.629 eV per atom.

=====

Entry 2:
BeVRu: optimized geometry, PBE-GGA.

The structure belongs to space group P3m1 (No. 156); the cell edges are 4.0038, 4.0038 and 2.6420 Å and the angles 90.00°, 90.00° and 120.00°. The inequivalent atoms are Be at (0.0000, 0.0000, 0.0000), V at (0.3333, 0.6667, 0.3729) and Ru at (0.6667, 0.3333, 0.6726).

Its offset from the most stable computed form is 0 meV/atom. As for the formation enthalpy at 0 K: -0.162 eV per atom.

=====

Entry 3:
Pm2SmBi: optimized geometry, PBE-GGA.

The structure belongs to space group R3m (No. 160, hexagonal axes); the cell edges are 4.1399, 4.1399 and 29.1716 Å and the angles 90.00°, 90.00° and 120.00°. The inequivalent atoms are Pm at (0.0000, 0.0000, 0.0000), Pm at (0.0000, 0.0000, 0.1927), Sm at (0.0000, 0.0000, 0.7630) and Bi at (0.0000, 0.0000, 0.5965).

Its offset from the most stable computed form is 231 meV/atom. As for the formation enthalpy at 0 K: -0.209 eV per atom.

=====

Entry 4:
ZnNiSnPd: optimized geometry, PBE-GGA.

The structure belongs to space group F-43m (No. 216); the cell edges are 6.264, 6.264 and 6.264 Å and the angles 90.00°, 90.00° and 90.00°. The inequivalent atoms are Zn at (0.000, 0.000, 0.000), Ni at (0.250, 0.250, 0.250), Sn at (0.000, 0.000, 0.500) and Pd at (0.250, 0.250, 0.750).

As for the formation enthalpy at 0 K: -0.297 eV per atom.

=====

Entry 5:
Mg4ZnNi: optimized geometry, PBE-GGA.

The structure belongs to space group P4/mmm (No. 123); the cell edges are 4.419, 4.419 and 6.459 Å and the angles 90.00°, 90.00° and 90.00°. The inequivalent atoms are Mg at (0.000, 0.500, 0.231), Zn at (0.000, 0.000, 0.500) and Ni at (0.500, 0.500, 0.000).

Its offset from the most stable computed form is 139 meV/atom. As for the formation enthalpy at 0 K: 0.046 eV per atom.

=====

Entry 6:
NaLaCoHg2: optimized geometry, PBE-GGA.

The structure belongs to space group P4/mmm (No. 123); the cell edges are 5.258, 5.258 and 4.803 Å and the angles 90.00°, 90.00° and 90.00°. The inequivalent atoms are Na at (0.000, 0.000, 0.000), La at (0.500, 0.500, 0.000), Co at (0.500, 0.500, 0.500) and Hg at (0.000, 0.500, 0.500).

As for the formation enthalpy at 0 K: -0.149 eV per atom.

=====

Entry 7:
TlBAuF6: optimized geometry, PBE-GGA.

The structure belongs to space group P1 (No. 1); the cell edges are 5.455, 5.846 and 6.089 Å and the angles 95.77°, 96.95° and 117.41°. The inequivalent atoms are Tl at (0.000, 0.000, 0.000), B at (0.388, 0.686, 0.430), Au at (0.725, 0.348, 0.458), F at (0.151, 0.699, 0.320), F at (0.293, 0.461, 0.533), F at (0.554, 0.916, 0.597), F at (0.555, 0.667, 0.275), F at (0.576, 0.144, 0.144) and F at (0.877, 0.558, 0.769).

The formation energy without anion corrections is -1.949 eV/atom.

=====

Entry 8:
PmPrTcAg: optimized geometry, PBE-GGA.

The structure belongs to space group F-43m (No. 216); the cell edges are 7.261, 7.261 and 7.261 Å and the angles 90.00°, 90.00° and 90.00°. The inequivalent atoms are Pm at (0.000, 0.000, 0.000), Pr at (0.000, 0.000, 0.500), Tc at (0.250, 0.250, 0.250) and Ag at (0.250, 0.250, 0.750).

As for the formation enthalpy at 0 K: 0.028 eV per atom.

=====

Entry 9:
BaNaCdP2: optimized geometry, PBE-GGA.

The structure belongs to space group C2/m (No. 12); the cell edges are 15.329, 4.417 and 10.875 Å and the angles 90.00°, 128.67° and 90.00°. The inequivalent atoms are Ba at (0.197, 0.000, 0.131), Na at (0.143, 0.500, 0.403), Cd at (0.044, 0.000, 0.687), P at (0.086, 0.500, 0.856) and P at (0.165, 0.000, 0.590).

As for the formation enthalpy at 0 K: -0.426 eV per atom.

=====

Entry 10:
LiMn2TlBr8: optimized geometry, PBE-GGA.

The structure belongs to space group P-3 (No. 147); the cell edges are 6.8932, 6.8932 and 9.3572 Å and the angles 90.00°, 90.00° and 120.00°. The inequivalent atoms are Li at (0.0000, 0.0000, 0.0000), Mn at (0.3333, 0.6667, 0.2452), Tl at (0.0000, 0.0000, 0.5000), Br at (0.0085, 0.3219, 0.1791) and Br at (0.3333, 0.6667, 0.4971).

The formation energy without anion corrections is -0.751 eV/atom.

=====

Entry 11:
InGe2Ru2: optimized geometry, PBE-GGA.

The structure belongs to space group P4/mbm (No. 127); the cell edges are 7.295, 7.295 and 3.044 Å and the angles 90.00°, 90.00° and 90.00°. The inequivalent atoms are In at (0.000, 0.000, 0.000), Ge at (0.145, 0.355, 0.500) and Ru at (0.149, 0.649, 0.000).

As for the formation enthalpy at 0 K: -0.083 eV per atom.

=====

Entry 12:
RePC3: optimized geometry, PBE-GGA.

The structure belongs to space group Pm-3m (No. 221); the cell edges are 3.613, 3.613 and 3.613 Å and the angles 90.00°, 90.00° and 90.00°. The inequivalent atoms are Re at (0.000, 0.000, 0.000), P at (0.500, 0.500, 0.500) and C at (0.000, 0.500, 0.500).

Its offset from the most stable computed form is 10 meV/atom. As for the formation enthalpy at 0 K: 2.228 eV per atom.

=====

Entry 13:
MgBOs2: optimized geometry, PBE-GGA.

The structure belongs to space group R3m (No. 160, hexagonal axes); the cell edges are 2.8573, 2.8573 and 22.2877 Å and the angles 90.00°, 90.00° and 120.00°. The inequivalent atoms are Mg at (0.0000, 0.0000, 0.0000), B at (0.0000, 0.0000, 0.8333), Os at (0.0000, 0.0000, 0.2307) and Os at (0.0000, 0.0000, 0.4358).

Its offset from the most stable computed form is 0 meV/atom. As for the formation enthalpy at 0 K: 0.094 eV per atom.

=====

Entry 14:
CaInIr: optimized geometry, PBE-GGA.

The structure belongs to space group C2/m (No. 12); the cell edges are 12.725, 4.423 and 5.346 Å and the angles 90.00°, 103.56° and 90.00°. The inequivalent atoms are Ca at (0.129, 0.000, 0.330), In at (0.077, 0.500, 0.792) and Ir at (0.213, 0.000, 0.896).

As for the formation enthalpy at 0 K: -0.359 eV per atom.

=====

Entry 15:
RbPaTe4Pd: optimized geometry, PBE-GGA.

The structure belongs to space group P2_1/m (No. 11); the cell edges are 7.634, 6.227 and 10.292 Å and the angles 90.00°, 107.77° and 90.00°. The inequivalent atoms are Rb at (0.220, 0.250, 0.053), Pa at (0.279, 0.250, 0.557), Te at (0.019, 0.504, 0.694), Te at (0.430, 0.750, 0.599), Te at (0.469, 0.750, 0.158) and Pd at (0.275, 0.750, 0.332).

The formation energy without anion corrections is -0.729 eV/atom.

=====

Entry 16:
RbLiAs2: optimized geometry, PBE-GGA.

The structure belongs to space group Fm-3m (No. 225); the cell edges are 7.400, 7.400 and 7.400 Å and the angles 90.00°, 90.00° and 90.00°. The inequivalent atoms are Rb at (0.000, 0.000, 0.000), Li at (0.000, 0.000, 0.500) and As at (0.250, 0.250, 0.250).

Its offset from the most stable computed form is 464 meV/atom. As for the formation enthalpy at 0 K: 0.182 eV per atom.

=====

Entry 17:
Sm6Pd2C: optimized geometry, PBE-GGA.

The structure belongs to space group P2_1/c (No. 14); the cell edges are 6.645, 7.274 and 11.831 Å and the angles 90.00°, 122.92° and 90.00°. The inequivalent atoms are Sm at (0.120, 0.034, 0.239), Sm at (0.230, 0.696, 0.058), Sm at (0.368, 0.176, 0.058), Pd at (0.299, 0.095, 0.751) and C at (0.000, 0.000, 0.000).

As for the formation enthalpy at 0 K: -0.421 eV per atom.

=====

Entry 18:
Pm2Ho4In: optimized geometry, PBE-GGA.

The structure belongs to space group P2_1/m (No. 11); the cell edges are 5.738, 6.664 and 11.577 Å and the angles 90.00°, 103.58° and 90.00°. The inequivalent atoms are Pm at (0.027, 0.250, 0.475), Pm at (0.339, 0.750, 0.078), Ho at (0.154, 0.006, 0.786), Ho at (0.214, 0.250, 0.062), Ho at (0.403, 0.750, 0.374) and In at (0.453, 0.250, 0.333).

Its offset from the most stable computed form is 14 meV/atom. As for the formation enthalpy at 0 K: -0.033 eV per atom.

=====

Entry 19:
SrDyEr: optimized geometry, PBE-GGA.

The structure belongs to space group P3m1 (No. 156); the cell edges are 3.6976, 3.6976 and 9.2151 Å and the angles 90.00°, 90.00° and 120.00°. The inequivalent atoms are Sr at (0.0000, 0.0000, 0.0000), Dy at (0.3333, 0.6667, 0.6440) and Er at (0.6667, 0.3333, 0.3524).

Its offset from the most stable computed form is 26 meV/atom. As for the formation enthalpy at 0 K: 0.170 eV per atom.

=====

Entry 20:
VAsPdSe2: optimized geometry, PBE-GGA.

The structure belongs to space group P4/mmm (No. 123); the cell edges are 4.737, 4.737 and 4.766 Å and the angles 90.00°, 90.00° and 90.00°. The inequivalent atoms are V at (0.000, 0.000, 0.000), As at (0.000, 0.000, 0.500), Pd at (0.500, 0.500, 0.500) and Se at (0.000, 0.500, 0.000).

Its offset from the most stable computed form is 0 meV/atom. The formation energy without anion corrections is 0.268 eV/atom.

=====

Entry 21:
Nd2Ni4Sb3Ir: optimized geometry, PBE-GGA.

The structure belongs to space group P-4m2 (No. 115); the cell edges are 4.284, 4.284 and 10.392 Å and the angles 90.00°, 90.00° and 90.00°. The inequivalent atoms are Nd at (0.000, 0.500, 0.246), Ni at (0.000, 0.000, 0.500), Ni at (0.000, 0.500, 0.869), Ni at (0.500, 0.500, 0.500), Sb at (0.000, 0.000, 0.000), Sb at (0.000, 0.500, 0.629) and Ir at (0.500, 0.500, 0.000).

The formation energy without anion corrections is -0.545 eV/atom.

=====

Entry 22:
Ac2Mg6Zn: optimized geometry, PBE-GGA.

The structure belongs to space group C2/m (No. 12); the cell edges are 10.658, 6.751 and 6.959 Å and the angles 90.00°, 96.97° and 90.00°. The inequivalent atoms are Ac at (0.163, 0.000, 0.380), Mg at (0.111, 0.230, 0.852), Mg at (0.133, 0.500, 0.187) and Zn at (0.000, 0.500, 0.500).

As for the formation enthalpy at 0 K: -0.056 eV per atom.

=====

Entry 23:
BaRh2Se: optimized geometry, PBE-GGA.

The structure belongs to space group F-43m (No. 216); the cell edges are 7.051, 7.051 and 7.051 Å and the angles 90.00°, 90.00° and 90.00°. The inequivalent atoms are Ba at (0.000, 0.000, 0.000), Rh at (0.000, 0.000, 0.500), Rh at (0.250, 0.250, 0.750) and Se at (0.250, 0.250, 0.250).

The formation energy without anion corrections is 0.196 eV/atom.

=====

Entry 24:
RbP2PbO6: optimized geometry, PBE-GGA.

The structure belongs to space group C2/c (No. 15); the cell edges are 10.574, 10.690 and 6.081 Å and the angles 90.00°, 104.28° and 90.00°. The inequivalent atoms are Rb at (0.000, 0.179, 0.250), P at (0.223, 0.071, 0.764), Pb at (0.000, 0.380, 0.750), O at (0.125, 0.432, 0.158), O at (0.166, 0.202, 0.721) and O at (0.174, 0.020, 0.051).

The formation energy without anion corrections is -1.773 eV/atom.

=====

Entry 25:
GaAg2Sb: optimized geometry, PBE-GGA.

The structure belongs to space group R-3m (No. 166, hexagonal axes); the cell edges are 3.1053, 3.1053 and 31.2509 Å and the angles 90.00°, 90.00° and 120.00°. The inequivalent atoms are Ga at (0.0000, 0.0000, 0.0000), Ag at (0.0000, 0.0000, 0.0840) and Sb at (0.0000, 0.0000, 0.5000).

Its offset from the most stable computed form is 129 meV/atom. The formation energy without anion corrections is 0.221 eV/atom.

=====

| no. | energy (eV per atom) |
| --- | --- |
| 1 | -7.970 |
| 2 | -7.535 |
| 3 | -4.735 |
| 4 | -4.360 |
| 5 | -2.193 |
| 6 | -2.940 |
| 7 | -4.566 |
| 8 | -5.659 |
| 9 | -3.421 |
| 10 | -3.751 |
| 11 | -6.188 |
| 12 | -6.878 |
| 13 | -7.588 |
| 14 | -4.893 |
| 15 | -4.760 |
| 16 | -2.863 |
| 17 | -5.745 |
| 18 | -4.398 |
| 19 | -3.446 |
| 20 | -4.918 |
| 21 | -5.934 |
| 22 | -2.174 |
| 23 | -4.832 |
| 24 | -6.297 |
| 25 | -2.992 |